Entry 1:
The following is a DFT calculation (PBE) of an optimized crystal structure of Ba2Na2Au.

Volume in Å³/atom: 39.13
Magnetization in μB/atom: 0.0000
Calculated total energy in eV per cell: -10.6
Energy of formation in meV per atom: -160
Distance to the lowest polymorph of the same formula in kcal/mol of atoms: 1.04
Crystal system: orthorhombic
Space-group type: No. 71

```
Ba2Na2Au
1.0
5.261 0.000 2.001
-0.887 5.328 2.332
0.285 0.159 7.167
Ba Na Au
2 2 1
Cartesian
3.591 1.048 6.392 Ba
1.068 4.438 5.109 Ba
0.821 2.664 1.647 Na
3.553 2.664 2.686 Na
0.000 0.000 0.000 Au
```


Entry 2:
The following is a DFT calculation (PBE) of an optimized crystal structure of BaNa4Au2.

Volume in Å³/atom: 30.62
Magnetization in μB/atom: 0.0000
Calculated total energy in eV per cell: -16.0
Energy of formation in meV per atom: -318
Distance to the lowest polymorph of the same formula in kcal/mol of atoms: 0.05
Crystal system: orthorhombic
Space-group type: No. 65

```
BaNa4Au2
1.0
4.627 0.000 0.000
0.000 4.643 0.000
0.000 -2.321 9.979
Ba Na Au
1 4 2
Cartesian
0.000 0.000 0.000 Ba
2.313 2.321 6.527 Na
0.000 2.321 3.457 Na
2.313 0.000 3.452 Na
0.000 0.000 6.522 Na
2.313 2.321 1.418 Au
2.313 0.000 8.562 Au
```


Entry 3:
The following is a DFT calculation (PBE) of an optimized crystal structure of Ba11NaAu5.

Volume in Å³/atom: 46.27
Magnetization in μB/atom: 0.0000
Calculated total energy in eV per cell: -45.9
Energy of formation in meV per atom: -412
Crystal system: monoclinic
Space-group type: No. 12

```
Ba11NaAu5
1.0
0.543 -2.465 -7.848
-5.361 -7.554 4.062
-6.984 7.281 -0.710
Ba Na Au
11 1 5
Cartesian
-8.026 -1.109 -0.716 Ba
-3.776 -1.629 -3.779 Ba
-5.115 2.248 -5.327 Ba
-6.687 -4.986 0.832 Ba
-7.574 3.121 -1.776 Ba
-4.228 -5.859 -2.719 Ba
0.272 -1.233 -3.924 Ba
-7.762 -4.330 -4.182 Ba
-4.040 1.593 -0.314 Ba
-3.621 -2.237 0.918 Ba
-8.181 -0.501 -5.414 Ba
0.000 0.000 0.000 Na
-2.032 0.728 -5.771 Au
-9.770 -3.466 1.276 Au
-10.321 1.567 -0.343 Au
-1.481 -4.305 -4.152 Au
-6.173 -0.136 1.676 Au
```